1.
Computed, not measured: HfPa2Se4 after structural relaxation at the GGA-PBE level of DFT.

a b c (Å): 15.4650 3.7151 6.5123
angles (deg): 90.00 113.49 90.00
With the nearest neighbours (Å) after each atom.
Sites, in units of the cell vectors:
Hf 0.0000 0.0000 0.0000  6 Se 2.65-2.70
Hf 0.5000 0.5000 0.0000  6 Se 2.65-2.70
Pa 0.2499 0.0000 0.2462  6 Se 2.88-2.95
Pa 0.2501 0.5000 0.7538  6 Se 2.88-2.95
Pa 0.7501 0.0000 0.7538  6 Se 2.88-2.95
Pa 0.7499 0.5000 0.2462  6 Se 2.88-2.95
Se 0.1096 0.5000 0.2883  2 Hf 2.70, 3 Pa 2.94-2.95
Se 0.1128 0.0000 0.7825  1 Hf 2.65, 3 Pa 2.88-2.92
Se 0.3872 0.5000 0.2175  1 Hf 2.65, 3 Pa 2.88-2.92
Se 0.3904 0.0000 0.7117  2 Hf 2.70, 3 Pa 2.94-2.95
Se 0.6096 0.0000 0.2883  2 Hf 2.70, 3 Pa 2.94-2.95
Se 0.6128 0.5000 0.7825  1 Hf 2.65, 3 Pa 2.88-2.92
Se 0.8872 0.0000 0.2175  1 Hf 2.65, 3 Pa 2.88-2.92
Se 0.8904 0.5000 0.7117  2 Hf 2.70, 3 Pa 2.94-2.95

Results
ρ: 9.256 g cm⁻³
Total moment: 0.00 μB/atom
Raw formation energy: -1.194 eV/atom

2.
Computed, not measured: Ho3Cd2Hg after structural relaxation at the GGA-PBE level of DFT.

a b c (Å): 5.2509 5.2509 6.4596
angles (deg): 90.00 90.00 120.00
With the nearest neighbours (Å) after each atom.
Sites, in units of the cell vectors:
Ho 0.0000 0.0000 0.0000  6 Cd 3.19, 2 Hg 3.23
Ho 0.3333 0.6667 0.6606  5 Cd 3.19-3.27, 3 Hg 3.20
Ho 0.6667 0.3333 0.3394  5 Cd 3.19-3.27, 3 Hg 3.20
Cd 0.3333 0.6667 0.1543  8 Ho 3.19-3.27
Cd 0.6667 0.3333 0.8457  8 Ho 3.19-3.27
Hg 0.0000 0.0000 0.5000  8 Ho 3.20-3.23

Results
ρ: 9.907 g cm⁻³
Total moment: 0.00 μB/atom
Energy of formation: -0.37 eV per atom

3.
Computed, not measured: Y4TcAu after structural relaxation at the GGA-PBE level of DFT.

a b c (Å): 5.9617 5.9617 5.9617
angles (deg): 60.00 60.00 60.00
With the nearest neighbours (Å) after each atom.
Sites, in units of the cell vectors:
Y 0.3757 0.3757 0.3757  6 Y 2.96-3.00
Y 0.3757 0.3757 0.8729  6 Y 2.96-3.00
Y 0.3757 0.8729 0.3757  6 Y 2.96-3.00
Y 0.8729 0.3757 0.3757  6 Y 2.96-3.00
Tc 0.7500 0.7500 0.7500  12 Y 3.49, 4 Au 3.65
Au 0.0000 0.0000 0.0000  12 Y 3.50, 4 Tc 3.65

Results
ρ: 7.211 g cm⁻³
Total moment: 0.00 μB/atom
Offset from the most stable computed form: 1087 meV/atom
Energy of formation: 0.73 eV per atom

4.
Computed, not measured: EuGdMgAg after structural relaxation at the GGA-PBE level of DFT.

a b c (Å): 7.6377 7.6377 7.6377
angles (deg): 90.00 90.00 90.00
With the nearest neighbours (Å) after each atom.
Sites, in units of the cell vectors:
Eu 0.0000 0.0000 0.0000  4 Mg 3.31, 4 Ag 3.31
Eu 0.0000 0.5000 0.5000  4 Mg 3.31, 4 Ag 3.31
Eu 0.5000 0.0000 0.5000  4 Mg 3.31, 4 Ag 3.31
Eu 0.5000 0.5000 0.0000  4 Mg 3.31, 4 Ag 3.31
Gd 0.0000 0.0000 0.5000  4 Ag 3.31, 4 Mg 3.31
Gd 0.0000 0.5000 0.0000  4 Ag 3.31, 4 Mg 3.31
Gd 0.5000 0.0000 0.0000  4 Ag 3.31, 4 Mg 3.31
Gd 0.5000 0.5000 0.5000  4 Ag 3.31, 4 Mg 3.31
Mg 0.2500 0.2500 0.7500  4 Gd 3.31, 4 Eu 3.31
Mg 0.2500 0.7500 0.2500  4 Gd 3.31, 4 Eu 3.31
Mg 0.7500 0.2500 0.2500  4 Gd 3.31, 4 Eu 3.31
Mg 0.7500 0.7500 0.7500  4 Eu 3.31, 4 Gd 3.31
Ag 0.2500 0.2500 0.2500  4 Gd 3.31, 4 Eu 3.31
Ag 0.2500 0.7500 0.7500  4 Gd 3.31, 4 Eu 3.31
Ag 0.7500 0.2500 0.7500  4 Gd 3.31, 4 Eu 3.31
Ag 0.7500 0.7500 0.2500  4 Gd 3.31, 4 Eu 3.31

Results
ρ: 6.580 g cm⁻³
Total moment: 0.01 μB/atom
Energy of formation: -0.13 eV per atom

5.
Computed, not measured: HfNbZn2 after structural relaxation at the GGA-PBE level of DFT.

a b c (Å): 7.3596 7.3596 5.4237
angles (deg): 90.00 90.00 90.00
With the nearest neighbours (Å) after each atom.
Sites, in units of the cell vectors:
Hf 0.0000 0.0000 0.0000  2 Nb 2.71, 4 Zn 2.73
Hf 0.0000 0.5000 0.2500  2 Nb 2.71, 4 Zn 2.73
Hf 0.5000 0.0000 0.7500  2 Nb 2.71, 4 Zn 2.73
Hf 0.5000 0.5000 0.5000  2 Nb 2.71, 4 Zn 2.73
Nb 0.0000 0.0000 0.5000  4 Zn 2.65, 2 Hf 2.71
Nb 0.0000 0.5000 0.7500  4 Zn 2.65, 2 Hf 2.71
Nb 0.5000 0.0000 0.2500  4 Zn 2.65, 2 Hf 2.71
Nb 0.5000 0.5000 0.0000  4 Zn 2.65, 2 Hf 2.71
Zn 0.2417 0.2500 0.6250  2 Nb 2.65, 2 Zn 2.71, 2 Hf 2.73
Zn 0.2500 0.7417 0.8750  2 Nb 2.65, 2 Zn 2.71, 2 Hf 2.73
Zn 0.2500 0.7583 0.3750  2 Nb 2.65, 2 Zn 2.71, 2 Hf 2.73
Zn 0.2583 0.2500 0.1250  2 Nb 2.65, 2 Zn 2.71, 2 Hf 2.73
Zn 0.7417 0.7500 0.1250  2 Nb 2.65, 2 Zn 2.71, 2 Hf 2.73
Zn 0.7500 0.2417 0.3750  2 Nb 2.65, 2 Zn 2.71, 2 Hf 2.73
Zn 0.7500 0.2583 0.8750  2 Nb 2.65, 2 Zn 2.71, 2 Hf 2.73
Zn 0.7583 0.7500 0.6250  2 Nb 2.65, 2 Zn 2.71, 2 Hf 2.73

Results
ρ: 9.094 g cm⁻³
Total moment: 0.00 μB/atom
Energy of formation: 0.28 eV per atom

6.
Computed, not measured: ZnPAu4 after structural relaxation at the GGA-PBE level of DFT.

a b c (Å): 5.4816 5.4816 5.4816
angles (deg): 60.00 60.00 60.00
With the nearest neighbours (Å) after each atom.
Sites, in units of the cell vectors:
Zn 0.0000 0.0000 0.0000  12 Au 3.21, 4 P 3.36
P 0.2500 0.2500 0.2500  12 Au 3.21, 4 Zn 3.36
Au 0.1243 0.6252 0.6252  6 Au 2.74-2.75
Au 0.6252 0.1243 0.6252  6 Au 2.74-2.75
Au 0.6252 0.6252 0.1243  6 Au 2.74-2.75
Au 0.6252 0.6252 0.6252  6 Au 2.74-2.75

Results
ρ: 12.607 g cm⁻³
Total moment: 0.00 μB/atom
Energy of formation: 0.39 eV per atom

7.
Computed, not measured: K2RbF2 after structural relaxation at the GGA-PBE level of DFT.

a b c (Å): 5.0028 5.0028 14.7161
angles (deg): 90.00 90.00 90.00
With the nearest neighbours (Å) after each atom.
Sites, in units of the cell vectors:
K 0.0000 0.0000 0.2042  4 F 2.59
K 0.0000 0.0000 0.7958  4 F 2.59
K 0.5000 0.5000 0.2958  4 F 2.59
K 0.5000 0.5000 0.7042  4 F 2.59
Rb 0.0000 0.0000 0.5000  10 K 4.35-4.64, 8 F 4.45
Rb 0.5000 0.5000 0.0000  10 K 4.35-4.64, 8 F 4.45
F 0.0000 0.5000 0.2500  4 K 2.59
F 0.0000 0.5000 0.7500  4 K 2.59
F 0.5000 0.0000 0.2500  4 K 2.59
F 0.5000 0.0000 0.7500  4 K 2.59

Results
ρ: 1.818 g cm⁻³
Total moment: 0.00 μB/atom
Offset from the most stable computed form: 0 meV/atom
Raw formation energy: -2.024 eV/atom

8.
Computed, not measured: K2Os after structural relaxation at the GGA-PBE level of DFT.

a b c (Å): 19.0111 4.1292 6.6847
angles (deg): 90.00 104.62 90.00
With the nearest neighbours (Å) after each atom.
Sites, in units of the cell vectors:
K 0.0852 0.0000 0.3050  3 Os 3.41-3.48
K 0.1647 0.5000 0.8390  4 Os 3.45-3.76
K 0.3353 0.0000 0.1610  4 Os 3.45-3.76
K 0.4148 0.5000 0.6950  3 Os 3.41-3.48
K 0.5852 0.5000 0.3050  3 Os 3.41-3.48
K 0.6647 0.0000 0.8390  4 Os 3.45-3.76
K 0.8353 0.5000 0.1610  4 Os 3.45-3.76
K 0.9148 0.0000 0.6950  3 Os 3.41-3.48
Os 0.2377 0.5000 0.4162  2 Os 2.34
Os 0.2623 0.0000 0.5838  2 Os 2.34
Os 0.7377 0.0000 0.4162  2 Os 2.34
Os 0.7623 0.5000 0.5838  2 Os 2.34

Results
ρ: 3.511 g cm⁻³
Total moment: 0.00 μB/atom
Offset from the most stable computed form: 26 meV/atom
Energy of formation: 0.72 eV per atom